Below is a relaxed structure of CaCoN2O, with properties calculated at the GGA+U level.

a b c (Å): 4.5561 4.5561 4.2676
angles (deg): 90.00 90.00 90.00
Last column: nearest neighbours and their distance in Å.
Fractional coordinates of all 5 atoms:
Ca1 0.0000 0.0000 0.0000  2 O 2.13, 4 N 2.28
Co1 0.5000 0.5000 0.5000  8 N 3.12, 4 O 3.22
N1 0.0000 0.5000 0.0000  2 Ca 2.28
N2 0.5000 0.0000 0.0000  2 Ca 2.28
O1 0.0000 0.0000 0.5000  2 Ca 2.13

Calculated values
total energy = -4.286 eV/atom